# 1
First-principles (PBE) data for a relaxed structure of Er8GaAu2, as listed in Alexandria via LeMat-Bulk.

CIF file:
```
data_Er8GaAu2
_cell_length_a 17.622
_cell_length_b 5.059
_cell_length_c 6.845
_cell_angle_alpha 90.00
_cell_angle_beta 106.72
_cell_angle_gamma 90.00
_symmetry_space_group_name_H-M 'C 1 2/m 1'
_symmetry_Int_Tables_number 12
_symmetry_space_group_name_Hall '-C 2y'
loop_
_atom_site_label
_atom_site_fract_x
_atom_site_fract_y
_atom_site_fract_z
Er1 0.029 0.000 0.280
Er2 0.093 0.500 0.957
Er3 0.168 0.500 0.474
Er4 0.199 0.000 0.817
Ga1 0.000 0.500 0.500
Au1 0.184 0.000 0.220
```

Calculated values
Fermi-level density of states   17.50 states/eV/cell
Final energy   -0.1702 Ha/atom
Theoretical density   10.238 g/cm3
E_form   -0.443 eV/atom

# 2
First-principles (PBE) data for a relaxed structure of CoSnN, as listed in Alexandria via LeMat-Bulk.

CIF file:
```
data_CoSnN
_cell_length_a 3.0343
_cell_length_b 3.0343
_cell_length_c 11.8875
_cell_angle_alpha 90.00
_cell_angle_beta 90.00
_cell_angle_gamma 120.00
_symmetry_space_group_name_H-M 'P 63 m c'
_symmetry_Int_Tables_number 186
_symmetry_space_group_name_Hall 'P 6c -2c'
loop_
_atom_site_label
_atom_site_fract_x
_atom_site_fract_y
_atom_site_fract_z
Co1 0.3333 0.6667 0.0000
Sn1 0.0000 0.0000 0.1980
N1 0.3333 0.6667 0.4574
```

Calculated values
Fermi-level density of states   3.71 states/eV/cell
Final energy   -0.2269 Ha/atom
Theoretical density   6.715 g/cm3

# 3
First-principles (PBE) data for a relaxed structure of NdCdInGa, as listed in Alexandria via LeMat-Bulk.

CIF file:
```
data_NdCdInGa
_cell_length_a 7.305
_cell_length_b 7.305
_cell_length_c 7.305
_cell_angle_alpha 90.00
_cell_angle_beta 90.00
_cell_angle_gamma 90.00
_symmetry_space_group_name_H-M 'F -4 3 m'
_symmetry_Int_Tables_number 216
_symmetry_space_group_name_Hall 'F -4 2 3'
loop_
_atom_site_label
_atom_site_fract_x
_atom_site_fract_y
_atom_site_fract_z
Nd1 0.000 0.000 0.000
Cd1 0.250 0.250 0.250
In1 0.000 0.000 0.500
Ga1 0.250 0.250 0.750
```

Calculated values
Fermi-level density of states   14.12 states/eV/cell
Final energy   -0.1145 Ha/atom
Theoretical density   7.516 g/cm3
E_form   -0.254 eV/atom

# 4
First-principles (PBE) data for a relaxed structure of HfAg2SnBr, as listed in Alexandria via LeMat-Bulk.

CIF file:
```
data_HfAg2SnBr
_cell_length_a 4.929
_cell_length_b 4.929
_cell_length_c 5.768
_cell_angle_alpha 90.00
_cell_angle_beta 90.00
_cell_angle_gamma 90.00
_symmetry_space_group_name_H-M 'P 4/m m m'
_symmetry_Int_Tables_number 123
_symmetry_space_group_name_Hall '-P 4 2'
loop_
_atom_site_label
_atom_site_fract_x
_atom_site_fract_y
_atom_site_fract_z
Hf1 0.000 0.000 0.000
Ag1 0.000 0.500 0.500
Sn1 0.500 0.500 0.000
Br1 0.500 0.500 0.500
```

Calculated values
Fermi-level density of states   2.96 states/eV/cell
Final energy   -0.1211 Ha/atom
Theoretical density   7.025 g/cm3